1.
Entry from Alexandria: an optimized crystal structure of Ba2CdO3 (PBE).

Output
SG = Cmcm, No. 63
energy above the most stable polymorph in this dataset = 11.9 meV per atom

CIF file:
```
data_Ba2CdO3
_symmetry_space_group_name_H-M 'P 1'
_symmetry_Int_Tables_number 1
_cell_length_a 3.579
_cell_length_b 6.579
_cell_length_c 9.973
_cell_angle_alpha 90.00
_cell_angle_beta 100.34
_cell_angle_gamma 90.00
loop_
_symmetry_equiv_pos_as_xyz
'x,y,z'
loop_
_atom_site_label
_atom_site_fract_x
_atom_site_fract_y
_atom_site_fract_z
Cd1 0.331 0.750 0.661
Cd2 0.669 0.250 0.339
O1 0.413 0.998 0.827
O2 0.765 0.750 0.530
O3 0.235 0.250 0.470
O4 0.587 0.002 0.173
O5 0.413 0.502 0.827
O6 0.587 0.498 0.173
Ba1 0.161 0.750 0.323
Ba2 0.975 0.750 0.950
Ba3 0.839 0.250 0.677
Ba4 0.025 0.250 0.050
```

=====

2.
Entry from Alexandria: an optimized crystal structure of BaCd2O (PBE).

Output
SG = I-42d, No. 122

CIF file:
```
data_BaCd2O
_symmetry_space_group_name_H-M 'P 1'
_symmetry_Int_Tables_number 1
_cell_length_a 8.969
_cell_length_b 8.969
_cell_length_c 6.867
_cell_angle_alpha 49.23
_cell_angle_beta 49.23
_cell_angle_gamma 90.00
loop_
_symmetry_equiv_pos_as_xyz
'x,y,z'
loop_
_atom_site_label
_atom_site_fract_x
_atom_site_fract_y
_atom_site_fract_z
Ba1 0.000 0.000 0.000
Ba2 0.750 0.250 0.500
Cd1 0.196 0.625 0.250
Cd2 0.554 0.125 0.250
Cd3 0.375 0.446 0.750
Cd4 0.875 0.804 0.750
O1 0.250 0.750 0.500
O2 0.500 0.500 0.000
```

=====

3.
Entry from Alexandria: an optimized crystal structure of Ba4CdO5 (PBE).

Output
SG = R-3m, No. 166

CIF file:
```
data_Ba4CdO5
_symmetry_space_group_name_H-M 'P 1'
_symmetry_Int_Tables_number 1
_cell_length_a 3.877
_cell_length_b 3.877
_cell_length_c 15.635
_cell_angle_alpha 82.88
_cell_angle_beta 82.88
_cell_angle_gamma 60.00
loop_
_symmetry_equiv_pos_as_xyz
'x,y,z'
loop_
_atom_site_label
_atom_site_fract_x
_atom_site_fract_y
_atom_site_fract_z
Ba1 0.894 0.894 0.319
Ba2 0.298 0.298 0.106
Ba3 0.106 0.106 0.681
Ba4 0.702 0.702 0.894
O1 0.193 0.193 0.420
O2 0.000 0.000 0.000
O3 0.404 0.404 0.787
O4 0.596 0.596 0.213
O5 0.807 0.807 0.580
Cd1 0.500 0.500 0.500
```

=====

4.
Entry from Alexandria: an optimized crystal structure of Ba5Cd2O2 (PBE).

Output
SG = Ima2, No. 46

CIF file:
```
data_Ba5Cd2O2
_symmetry_space_group_name_H-M 'P 1'
_symmetry_Int_Tables_number 1
_cell_length_a 7.843
_cell_length_b 7.700
_cell_length_c 12.374
_cell_angle_alpha 108.13
_cell_angle_beta 108.48
_cell_angle_gamma 90.00
loop_
_symmetry_equiv_pos_as_xyz
'x,y,z'
loop_
_atom_site_label
_atom_site_fract_x
_atom_site_fract_y
_atom_site_fract_z
Ba1 0.753 0.750 0.011
Ba2 0.825 0.834 0.711
Ba3 0.242 0.238 0.989
Ba4 0.614 0.624 0.289
Ba5 0.758 0.250 0.011
Ba6 0.127 0.626 0.500
Ba7 0.247 0.738 0.989
Ba8 0.873 0.126 0.500
Ba9 0.386 0.334 0.711
Ba10 0.175 0.124 0.289
O1 0.839 0.786 0.500
O2 0.000 0.986 0.000
O3 0.161 0.286 0.500
O4 0.500 0.486 0.000
Cd1 0.886 0.390 0.787
Cd2 0.599 0.103 0.213
Cd3 0.401 0.890 0.787
Cd4 0.114 0.603 0.213
```

=====

5.
Entry from Alexandria: an optimized crystal structure of Ba12Cd3O5 (PBE).

Output
SG = Ia-3d, No. 230

CIF file:
```
data_Ba12Cd3O5
_symmetry_space_group_name_H-M 'P 1'
_symmetry_Int_Tables_number 1
_cell_length_a 15.694
_cell_length_b 15.694
_cell_length_c 15.694
_cell_angle_alpha 109.47
_cell_angle_beta 109.47
_cell_angle_gamma 109.47
loop_
_symmetry_equiv_pos_as_xyz
'x,y,z'
loop_
_atom_site_label
_atom_site_fract_x
_atom_site_fract_y
_atom_site_fract_z
Ba1 0.814 0.917 0.305
Ba2 0.417 0.112 0.603
Ba3 0.388 0.991 0.805
Ba4 0.603 0.991 0.686
Ba5 0.112 0.695 0.509
Ba6 0.009 0.397 0.814
Ba7 0.186 0.083 0.695
Ba8 0.103 0.917 0.112
Ba9 0.009 0.612 0.695
Ba10 0.695 0.583 0.186
Ba11 0.083 0.897 0.388
Ba12 0.491 0.805 0.888
Ba13 0.612 0.603 0.917
Ba14 0.491 0.686 0.103
Ba15 0.388 0.397 0.083
Ba16 0.695 0.112 0.009
Ba17 0.805 0.491 0.388
Ba18 0.083 0.186 0.195
Ba19 0.814 0.897 0.009
Ba20 0.897 0.814 0.509
Ba21 0.686 0.195 0.583
Ba22 0.195 0.509 0.612
Ba23 0.583 0.888 0.397
Ba24 0.917 0.814 0.805
Ba25 0.888 0.583 0.897
Ba26 0.509 0.195 0.112
Ba27 0.603 0.612 0.417
Ba28 0.991 0.603 0.186
Ba29 0.305 0.417 0.814
Ba30 0.397 0.009 0.314
Ba31 0.805 0.314 0.917
Ba32 0.417 0.305 0.314
Ba33 0.612 0.009 0.195
Ba34 0.897 0.083 0.888
Ba35 0.186 0.103 0.991
Ba36 0.314 0.805 0.417
Ba37 0.917 0.103 0.612
Ba38 0.314 0.509 0.397
Ba39 0.397 0.388 0.583
Ba40 0.305 0.888 0.991
Ba41 0.991 0.388 0.305
Ba42 0.583 0.695 0.686
Ba43 0.112 0.417 0.103
Ba44 0.195 0.686 0.083
Ba45 0.686 0.491 0.603
Ba46 0.509 0.314 0.897
Ba47 0.888 0.305 0.491
Ba48 0.103 0.186 0.491
O1 0.500 0.000 0.000
O2 0.500 0.500 0.000
O3 0.000 0.500 0.500
O4 0.750 0.625 0.375
O5 0.250 0.875 0.125
O6 0.500 0.500 0.500
O7 0.375 0.125 0.750
O8 0.625 0.875 0.250
O9 0.500 0.000 0.500
O10 0.125 0.750 0.375
O11 0.000 0.500 0.000
O12 0.625 0.750 0.875
O13 0.125 0.375 0.250
O14 0.250 0.375 0.625
O15 0.000 0.000 0.000
O16 0.875 0.250 0.625
O17 0.375 0.250 0.125
O18 0.000 0.000 0.500
O19 0.875 0.625 0.750
O20 0.750 0.125 0.875
Cd1 0.750 0.875 0.625
Cd2 0.750 0.375 0.125
Cd3 0.625 0.375 0.750
Cd4 0.625 0.250 0.375
Cd5 0.875 0.750 0.125
Cd6 0.875 0.125 0.250
Cd7 0.375 0.625 0.250
Cd8 0.375 0.750 0.625
Cd9 0.250 0.125 0.375
Cd10 0.250 0.625 0.875
Cd11 0.125 0.250 0.875
Cd12 0.125 0.875 0.750
```

=====

6.
Entry from Alexandria: an optimized crystal structure of Ba4CdO2 (PBE).

Output
SG = Cc, No. 9

CIF file:
```
data_Ba4CdO2
_symmetry_space_group_name_H-M 'P 1'
_symmetry_Int_Tables_number 1
_cell_length_a 9.810
_cell_length_b 7.824
_cell_length_c 9.858
_cell_angle_alpha 71.74
_cell_angle_beta 60.04
_cell_angle_gamma 51.18
loop_
_symmetry_equiv_pos_as_xyz
'x,y,z'
loop_
_atom_site_label
_atom_site_fract_x
_atom_site_fract_y
_atom_site_fract_z
O1 0.375 0.250 0.250
O2 0.375 0.250 0.749
O3 0.375 0.750 0.251
O4 0.875 0.750 0.750
Ba1 0.578 0.332 0.300
Ba2 0.090 0.333 0.701
Ba3 0.172 0.167 0.201
Ba4 0.122 0.667 0.301
Ba5 0.211 0.668 0.698
Ba6 0.629 0.832 0.198
Ba7 0.539 0.833 0.801
Ba8 0.660 0.168 0.799
Cd1 0.749 0.503 0.500
Cd2 0.001 0.998 0.000
```

=====

| no. | ΔE_f (raw) (meV/atom) |
| --- | --- |
| 1 | -1909 |
| 2 | -693 |
| 3 | -2135 |
| 4 | -1171 |
| 5 | -1249 |
| 6 | -1295 |